Here is a relaxed structure of K2Ge2Pb2O7 from the Alexandria database. Energies are from PBE.

Lattice parameters (Å, degrees): 5.8552 5.8552 8.1592 90.00 90.00 120.00
Last column: nearest neighbours and their distance in Å.
Space group P-3 (No. 147)
Symmetry-distinct sites (fractional):
K (0.3333, 0.6667, 0.0722)  6 O 2.80-2.92
Ge (0.0000, 0.0000, 0.2782)  4 O 1.77-1.81
Pb (0.3333, 0.6667, 0.6202)  3 O 2.24
O (0.0000, 0.0000, 0.5000)  2 Ge 1.81
O (0.0995, 0.3242, 0.7879)  1 Ge 1.77

Calculated values
The density of states at the Fermi level is 0.0 states/eV/cell. For the formation energy without anion corrections, the calculation gives -1.611 eV/atom.

=====

Here is a relaxed structure of Ca2ScCo2 from the Alexandria database. Energies are from PBE.

Lattice parameters (Å, degrees): 6.7773 6.7773 4.6054 90.00 90.00 90.00
Last column: nearest neighbours and their distance in Å.
Space group P4/mbm (No. 127)
Symmetry-distinct sites (fractional):
Ca (0.1724, 0.3276, 0.0000)  6 Co 3.05-3.06, 1 Ca 3.30, 4 Sc 3.41
Sc (0.0000, 0.0000, 0.5000)  4 Co 2.71
Co (0.1174, 0.6174, 0.5000)  1 Co 2.25

Calculated values
The density of states at the Fermi level is 15.3 states/eV/cell. The calculation puts the raw total energy at -4.76 eV per atom.